(1)
## Ho2ErSi2 (GGA-PBE)

Data for an optimized crystal structure of Ho2ErSi2.

Crystal system ... tetragonal
Magnetic moment ... 0.00 μB per cell
Mass density ... 7.94 Mg/m³
ΔE_f (raw) ... -0.712 eV/atom
Fermi-level density of states ... 4.10 states/eV/f.u.
Distance to the lowest polymorph of the same formula ... 0 meV per atom

a = 7.4243 Å, b = 7.4243 Å, c = 4.1972 Å
α = 90.00°, β = 90.00°, γ = 90.00°
Fractional positions:
Ho: 0.1758 0.3242 0.0000
Ho: 0.3242 0.8242 0.0000
Ho: 0.6758 0.1758 0.0000
Ho: 0.8242 0.6758 0.0000
Er: 0.0000 0.0000 0.5000
Er: 0.5000 0.5000 0.5000
Si: 0.1173 0.6173 0.5000
Si: 0.3827 0.1173 0.5000
Si: 0.6173 0.8827 0.5000
Si: 0.8827 0.3827 0.5000

(2)
## PrSm2HoSb4 (GGA-PBE)

Data for an optimized crystal structure of PrSm2HoSb4.

Crystal system ... monoclinic
Magnetic moment ... 0.00 μB per cell
Mass density ... 7.19 Mg/m³
ΔE_f (raw) ... -1.158 eV/atom
Fermi-level density of states ... 1.03 states/eV/f.u.

a = 7.7362 Å, b = 4.4712 Å, c = 7.7408 Å
α = 90.00°, β = 109.48°, γ = 90.00°
Fractional positions:
Pr: 0.0000 0.0000 0.0000
Sm: 0.0000 0.5000 0.5000
Sm: 0.5000 0.0000 0.5000
Ho: 0.5000 0.5000 0.0000
Sb: 0.2563 0.0000 0.7528
Sb: 0.2559 0.5000 0.2513
Sb: 0.7437 0.0000 0.2472
Sb: 0.7441 0.5000 0.7487

(3)
## Er4Si3Ir (GGA-PBE)

Data for an optimized crystal structure of Er4Si3Ir.

Crystal system ... orthorhombic
Magnetic moment ... 0.00 μB per cell
Mass density ... 9.22 Mg/m³
ΔE_f (raw) ... -0.844 eV/atom
Fermi-level density of states ... 5.78 states/eV/f.u.

a = 3.8222 Å, b = 4.2115 Å, c = 10.5783 Å
α = 90.00°, β = 90.00°, γ = 90.00°
Fractional positions:
Er: 0.0000 0.0000 0.0000
Er: 0.0000 0.5000 0.4952
Er: 0.5000 0.0000 0.2793
Er: 0.5000 0.5000 0.7826
Si: 0.0000 0.0000 0.7072
Si: 0.0000 0.5000 0.2130
Si: 0.5000 0.0000 0.5612
Ir: 0.5000 0.5000 0.0627

(4)
## BeTeO2 (GGA-PBE)

Data for an optimized crystal structure of BeTeO2.

Crystal system ... tetragonal
Magnetic moment ... 0.00 μB per cell
Mass density ... 5.99 Mg/m³
ΔE_f (raw) ... -1.241 eV/atom
Fermi-level density of states ... 0.61 states/eV/f.u.
Distance to the lowest polymorph of the same formula ... 0 meV per atom

a = 5.3016 Å, b = 5.3016 Å, c = 5.3016 Å
α = 126.30°, β = 126.30°, γ = 79.40°
Fractional positions:
Be: 0.0000 0.0000 0.0000
Be: 0.7500 0.2500 0.5000
Te: 0.2500 0.7500 0.5000
Te: 0.5000 0.5000 0.0000
O: 0.3750 0.2357 0.3607
O: 0.7643 0.1250 0.1393
O: 0.8750 0.0143 0.6393
O: 0.9857 0.6250 0.8607

Q: The highest ΔE_f (raw) belongs to which entry?
A: Ho2ErSi2

Q: Look up the Fermi-level density of states of the third one.
A: 5.78 states/eV/f.u.

Q: ΔE_f (raw) of number 1 (Ho2ErSi2)?
A: -0.712 eV/atom